This record from the Alexandria database describes a relaxed structure of RbMg2. The functional is PBE.

Lattice parameters (Å, degrees): 7.0905 6.0561 10.5871 90.00 90.00 90.00
Last column: nearest neighbours and their distance in Å.
Element x y z (fractional)
Rb1 0.0734 0.2500 0.1306  10 Mg 3.64-4.08
Rb2 0.4266 0.7500 0.6306  10 Mg 3.64-4.08
Rb3 0.5734 0.2500 0.3694  10 Mg 3.64-4.08
Rb4 0.9266 0.7500 0.8694  10 Mg 3.64-4.08
Mg1 0.0834 0.2500 0.5135  4 Mg 3.03-3.26
Mg2 0.2288 0.7500 0.2913  2 Mg 3.03-3.23
Mg3 0.2712 0.2500 0.7913  2 Mg 3.03-3.23
Mg4 0.4166 0.7500 0.0135  4 Mg 3.03-3.26
Mg5 0.5834 0.2500 0.9865  4 Mg 3.03-3.26
Mg6 0.7288 0.7500 0.2087  2 Mg 3.03-3.23
Mg7 0.7712 0.2500 0.7087  2 Mg 3.03-3.23
Mg8 0.9166 0.7500 0.4865  4 Mg 3.03-3.26

Results
Energy of formation, eV/f.u.: 0.7
Total moment, μB/atom: 0.000
Calculated volume, Å³/atom: 37.885

=====

This record from the Alexandria database describes a relaxed structure of Rb4Mg3. The functional is PBE.

Lattice parameters (Å, degrees): 20.8253 20.8253 20.8253 168.20 168.20 16.72
Last column: nearest neighbours and their distance in Å.
Element x y z (fractional)
Rb1 0.0649 0.0649 0.0000  4 Mg 4.04, 4 Rb 4.28
Rb2 0.3313 0.3313 0.0000  5 Mg 3.93-4.11, 4 Rb 4.28
Rb3 0.6687 0.6687 0.0000  5 Mg 3.93-4.11, 4 Rb 4.28
Rb4 0.9351 0.9351 0.0000  4 Mg 4.04, 4 Rb 4.28
Mg1 0.2360 0.2360 0.0000  4 Mg 3.24
Mg2 0.5000 0.5000 0.0000  8 Rb 4.04, 4 Mg 4.28
Mg3 0.7640 0.7640 0.0000  4 Mg 3.24

Results
Energy of formation, eV/f.u.: 1.4
Total moment, μB/atom: 0.000
Excess energy over the best structure of this formula in the dataset, meV per atom: 0
Calculated volume, Å³/atom: 53.997

=====

This record from the Alexandria database describes a relaxed structure of Rb5Mg. The functional is PBE.

Lattice parameters (Å, degrees): 8.7041 8.7041 12.1495 112.24 112.24 32.69
Last column: nearest neighbours and their distance in Å.
Element x y z (fractional)
Rb1 0.0000 0.0000 0.0000  2 Mg 4.04
Rb2 0.0335 0.0335 0.4141  2 Mg 4.28, 1 Rb 4.60
Rb3 0.3672 0.3672 0.6312  12 Rb 4.81-5.14
Rb4 0.6993 0.6993 0.8451  2 Mg 4.24, 1 Rb 4.62
Rb5 0.7338 0.7338 0.2626  2 Mg 4.03
Mg1 0.3645 0.3645 0.1280  8 Rb 4.03-4.28

Results
Energy of formation, eV/f.u.: 0.6
Total moment, μB/atom: 0.000
Excess energy over the best structure of this formula in the dataset, meV per atom: 3
Calculated volume, Å³/atom: 76.132

=====

This record from the Alexandria database describes a relaxed structure of Rb3Mg. The functional is PBE.

Lattice parameters (Å, degrees): 9.1651 9.1651 7.1670 90.00 90.00 120.00
Last column: nearest neighbours and their distance in Å.
Element x y z (fractional)
Rb1 0.1762 0.3524 0.2500  6 Rb 4.32-4.55, 4 Mg 4.37-4.59
Rb2 0.1762 0.8238 0.2500  6 Rb 4.32-4.55, 4 Mg 4.37-4.59
Rb3 0.3524 0.1762 0.7500  6 Rb 4.32-4.55, 4 Mg 4.37-4.59
Rb4 0.6476 0.8238 0.2500  6 Rb 4.32-4.55, 4 Mg 4.37-4.59
Rb5 0.8238 0.1762 0.7500  6 Rb 4.32-4.55, 4 Mg 4.37-4.59
Rb6 0.8238 0.6476 0.7500  6 Rb 4.32-4.55, 4 Mg 4.37-4.59
Mg1 0.3333 0.6667 0.7500  12 Rb 4.37-4.59
Mg2 0.6667 0.3333 0.2500  12 Rb 4.37-4.59

Results
Energy of formation, eV/f.u.: 0.7
Total moment, μB/atom: 0.000
Calculated volume, Å³/atom: 65.181